# 1
# Y2TiV | the Alexandria database | PBE-GGA | relaxed
# Energy relative to the elements: 0.7832 eV per atom
# Total DFT energy (no corrections): -6.70 eV/atom
# Energy relative to the lowest polymorph listed for this composition: 354 meV/atom
# Crystal system: tetragonal
data_Y2TiV
_chemical_formula_sum 'Y8 Ti4 V4'
_cell_length_a 7.9830
_cell_length_b 7.9830
_cell_length_c 6.1884
_cell_angle_alpha 90.00
_cell_angle_beta 90.00
_cell_angle_gamma 90.00
_space_group_name_H-M_alt 'I -4 2 d'
_space_group_IT_number 122
_space_group_name_Hall 'I -4 2bw'
loop_
_atom_site_label
_atom_site_fract_x
_atom_site_fract_y
_atom_site_fract_z
Y1 0.2305 0.2500 0.1250
Ti1 0.0000 0.0000 0.5000
V1 0.0000 0.0000 0.0000

---

# 2
# YTiV4 | the Alexandria database | PBE-GGA | relaxed
# Energy relative to the elements: 0.2895 eV per atom
# Total DFT energy (no corrections): -8.18 eV/atom
# Crystal system: cubic
data_YTiV4
_chemical_formula_sum 'Y4 Ti4 V16'
_cell_length_a 7.3621
_cell_length_b 7.3621
_cell_length_c 7.3621
_cell_angle_alpha 90.00
_cell_angle_beta 90.00
_cell_angle_gamma 90.00
_space_group_name_H-M_alt 'F -4 3 m'
_space_group_IT_number 216
_space_group_name_Hall 'F -4 2 3'
loop_
_atom_site_label
_atom_site_fract_x
_atom_site_fract_y
_atom_site_fract_z
Y1 0.0000 0.0000 0.0000
Ti1 0.2500 0.2500 0.2500
V1 0.1251 0.1251 0.6251

---

# 3
# Y2TiV2 | the Alexandria database | PBE-GGA | relaxed
# Energy relative to the elements: 0.5368 eV per atom
# Total DFT energy (no corrections): -7.28 eV/atom
# Energy relative to the lowest polymorph listed for this composition: 108 meV/atom
# Crystal system: tetragonal
data_Y2TiV2
_chemical_formula_sum 'Y4 Ti2 V4'
_cell_length_a 3.2926
_cell_length_b 3.2926
_cell_length_c 20.7317
_cell_angle_alpha 90.00
_cell_angle_beta 90.00
_cell_angle_gamma 90.00
_space_group_name_H-M_alt 'I 4/m m m'
_space_group_IT_number 139
_space_group_name_Hall '-I 4 2'
loop_
_atom_site_label
_atom_site_fract_x
_atom_site_fract_y
_atom_site_fract_z
Y1 0.0000 0.0000 0.1097
Ti1 0.0000 0.0000 0.5000
V1 0.0000 0.5000 0.2500

---

# 4
# Y2TiV | the Alexandria database | PBE-GGA | relaxed
# Energy relative to the elements: 0.4293 eV per atom
# Total DFT energy (no corrections): -7.06 eV/atom
# Energy relative to the lowest polymorph listed for this composition: 0 meV/atom
# Crystal system: cubic
data_Y2TiV
_chemical_formula_sum 'Y8 Ti4 V4'
_cell_length_a 7.2576
_cell_length_b 7.2576
_cell_length_c 7.2576
_cell_angle_alpha 90.00
_cell_angle_beta 90.00
_cell_angle_gamma 90.00
_space_group_name_H-M_alt 'F m -3 m'
_space_group_IT_number 225
_space_group_name_Hall '-F 4 2 3'
loop_
_atom_site_label
_atom_site_fract_x
_atom_site_fract_y
_atom_site_fract_z
Y1 0.2500 0.2500 0.2500
Ti1 0.0000 0.0000 0.0000
V1 0.0000 0.0000 0.5000

---

# 5
# YTiV2 | the Alexandria database | PBE-GGA | relaxed
# Energy relative to the elements: 0.4493 eV per atom
# Total DFT energy (no corrections): -7.70 eV/atom
# Energy relative to the lowest polymorph listed for this composition: 0 meV/atom
# Crystal system: cubic
data_YTiV2
_chemical_formula_sum 'Y4 Ti4 V8'
_cell_length_a 6.7314
_cell_length_b 6.7314
_cell_length_c 6.7314
_cell_angle_alpha 90.00
_cell_angle_beta 90.00
_cell_angle_gamma 90.00
_space_group_name_H-M_alt 'F m -3 m'
_space_group_IT_number 225
_space_group_name_Hall '-F 4 2 3'
loop_
_atom_site_label
_atom_site_fract_x
_atom_site_fract_y
_atom_site_fract_z
Y1 0.0000 0.0000 0.0000
Ti1 0.0000 0.0000 0.5000
V1 0.2500 0.2500 0.2500

---

# 6
# YTi2V | the Alexandria database | PBE-GGA | relaxed
# Energy relative to the elements: 0.1694 eV per atom
# Total DFT energy (no corrections): -7.67 eV/atom
# Energy relative to the lowest polymorph listed for this composition: 0 meV/atom
# Crystal system: tetragonal
data_YTi2V
_chemical_formula_sum 'Y1 Ti2 V1'
_cell_length_a 3.3226
_cell_length_b 3.3226
_cell_length_c 7.0739
_cell_angle_alpha 90.00
_cell_angle_beta 90.00
_cell_angle_gamma 90.00
_space_group_name_H-M_alt 'P 4/m m m'
_space_group_IT_number 123
_space_group_name_Hall '-P 4 2'
loop_
_atom_site_label
_atom_site_fract_x
_atom_site_fract_y
_atom_site_fract_z
Y1 0.0000 0.0000 0.0000
Ti1 0.5000 0.5000 0.3108
V1 0.0000 0.0000 0.5000

---

# 7
# YTi2V | the Alexandria database | PBE-GGA | relaxed
# Energy relative to the elements: 0.4012 eV per atom
# Total DFT energy (no corrections): -7.44 eV/atom
# Energy relative to the lowest polymorph listed for this composition: 232 meV/atom
# Crystal system: cubic
data_YTi2V
_chemical_formula_sum 'Y4 Ti8 V4'
_cell_length_a 6.7688
_cell_length_b 6.7688
_cell_length_c 6.7688
_cell_angle_alpha 90.00
_cell_angle_beta 90.00
_cell_angle_gamma 90.00
_space_group_name_H-M_alt 'F m -3 m'
_space_group_IT_number 225
_space_group_name_Hall '-F 4 2 3'
loop_
_atom_site_label
_atom_site_fract_x
_atom_site_fract_y
_atom_site_fract_z
Y1 0.0000 0.0000 0.0000
Ti1 0.2500 0.2500 0.2500
V1 0.0000 0.0000 0.5000

---

# 8
# YTiV3 | the Alexandria database | PBE-GGA | relaxed
# Energy relative to the elements: 0.8593 eV per atom
# Total DFT energy (no corrections): -7.48 eV/atom
# Energy relative to the lowest polymorph listed for this composition: 0 meV/atom
# Crystal system: cubic
data_YTiV3
_chemical_formula_sum 'Y1 Ti1 V3'
_cell_length_a 4.5717
_cell_length_b 4.5717
_cell_length_c 4.5717
_cell_angle_alpha 90.00
_cell_angle_beta 90.00
_cell_angle_gamma 90.00
_space_group_name_H-M_alt 'P m -3 m'
_space_group_IT_number 221
_space_group_name_Hall '-P 4 2 3'
loop_
_atom_site_label
_atom_site_fract_x
_atom_site_fract_y
_atom_site_fract_z
Y1 0.0000 0.0000 0.0000
Ti1 0.5000 0.5000 0.5000
V1 0.0000 0.5000 0.5000

---

# 9
# Y2TiV2 | the Alexandria database | PBE-GGA | relaxed
# Energy relative to the elements: 0.4285 eV per atom
# Total DFT energy (no corrections): -7.38 eV/atom
# Energy relative to the lowest polymorph listed for this composition: 0 meV/atom
# Crystal system: tetragonal
data_Y2TiV2
_chemical_formula_sum 'Y4 Ti2 V4'
_cell_length_a 6.7120
_cell_length_b 6.7120
_cell_length_c 4.8410
_cell_angle_alpha 90.00
_cell_angle_beta 90.00
_cell_angle_gamma 90.00
_space_group_name_H-M_alt 'P 4/m b m'
_space_group_IT_number 127
_space_group_name_Hall '-P 4 2ab'
loop_
_atom_site_label
_atom_site_fract_x
_atom_site_fract_y
_atom_site_fract_z
Y1 0.1755 0.3245 0.0000
Ti1 0.0000 0.0000 0.5000
V1 0.1272 0.6272 0.5000

---

# 10
# Y2TiV2 | the Alexandria database | PBE-GGA | relaxed
# Energy relative to the elements: 0.6625 eV per atom
# Total DFT energy (no corrections): -7.15 eV/atom
# Energy relative to the lowest polymorph listed for this composition: 234 meV/atom
# Crystal system: tetragonal
data_Y2TiV2
_chemical_formula_sum 'Y4 Ti2 V4'
_cell_length_a 8.4329
_cell_length_b 8.4329
_cell_length_c 3.2518
_cell_angle_alpha 90.00
_cell_angle_beta 90.00
_cell_angle_gamma 90.00
_space_group_name_H-M_alt 'P 4/m b m'
_space_group_IT_number 127
_space_group_name_Hall '-P 4 2ab'
loop_
_atom_site_label
_atom_site_fract_x
_atom_site_fract_y
_atom_site_fract_z
Y1 0.2055 0.2945 0.0000
Ti1 0.0000 0.0000 0.0000
V1 0.0802 0.5802 0.5000

---

# 11
# YTi2V | the Alexandria database | PBE-GGA | relaxed
# Energy relative to the elements: 0.6815 eV per atom
# Total DFT energy (no corrections): -7.16 eV/atom
# Energy relative to the lowest polymorph listed for this composition: 512 meV/atom
# Crystal system: tetragonal
data_YTi2V
_chemical_formula_sum 'Y4 Ti8 V4'
_cell_length_a 4.0879
_cell_length_b 4.0879
_cell_length_c 19.8060
_cell_angle_alpha 90.00
_cell_angle_beta 90.00
_cell_angle_gamma 90.00
_space_group_name_H-M_alt 'I -4 2 d'
_space_group_IT_number 122
_space_group_name_Hall 'I -4 2bw'
loop_
_atom_site_label
_atom_site_fract_x
_atom_site_fract_y
_atom_site_fract_z
Y1 0.0000 0.0000 0.0000
Ti1 0.2295 0.2500 0.6250
V1 0.0000 0.0000 0.5000

---

# 12
# Y2TiVZn | the Alexandria database | PBE-GGA | relaxed
# Energy relative to the elements: 0.9661 eV per atom
# Total DFT energy (no corrections): -5.28 eV/atom
# Crystal system: tetragonal
data_Y2TiVZn
_chemical_formula_sum 'Y2 Ti1 V1 Zn1'
_cell_length_a 5.2900
_cell_length_b 5.2900
_cell_length_c 4.7707
_cell_angle_alpha 90.00
_cell_angle_beta 90.00
_cell_angle_gamma 90.00
_space_group_name_H-M_alt 'P 4/m m m'
_space_group_IT_number 123
_space_group_name_Hall '-P 4 2'
loop_
_atom_site_label
_atom_site_fract_x
_atom_site_fract_y
_atom_site_fract_z
Y1 0.0000 0.5000 0.0000
Ti1 0.0000 0.0000 0.5000
V1 0.5000 0.5000 0.5000
Zn1 0.0000 0.0000 0.0000